Here is a relaxed CaHoEr crystal from the Alexandria database. Energies are from GGA-PBE.

The formation energy comes out at 0.064 eV/atom. The value obtained for the energy above the lowest structure with this stoichiometry is 0 meV per atom. As for the density of states at the Fermi level: 1.783 states/eV/atom.

abc: 3.5545 21.0968 5.4745
angles: 90.00 90.00 90.00
With the nearest neighbours (Å) after each atom.
Space group Cmcm (No. 63)
One atom of each set of equivalent atoms:
Ca1 0.0000 0.2037 0.2500 [4 per cell]  1 Er 3.46, 6 Ca 3.55-3.80, 4 Ho 3.88
Ho1 0.0000 0.3958 0.2500 [4 per cell]  6 Er 3.51-3.54, 2 Ho 3.55, 4 Ca 3.88
Er1 0.0000 0.0395 0.2500 [4 per cell]  4 Er 3.20-3.55, 1 Ca 3.46, 6 Ho 3.51-3.54